Entry 1:
VASP calculation (GGA-PBE) on an optimized crystal structure of LaWSe3.

```
LaWSe3
1.0
5.689 0.000 0.000
0.000 5.689 0.000
0.000 0.000 5.689
La W Se
1 1 3
Direct
0.000 0.000 0.000 La
0.500 0.500 0.500 W
0.000 0.000 0.500 Se
0.000 0.500 0.000 Se
0.500 0.000 0.000 Se
```

## Properties
N(E_F) ... 5.4 states/eV/cell
Magnetization ... 3.00 μB per cell
Density ... 5.05 Mg/m³
Space group ... Pm-3m
Energy above the most stable polymorph in this dataset ... 1421 meV per atom
Energy ... -4.81 eV/atom
Formation energy (no corrections) ... 0.853 eV/atom



Entry 2:
VASP calculation (GGA-PBE) on an optimized crystal structure of LaWSe2.

```
LaWSe2
1.0
1.799 1.039 9.114
-1.799 1.039 9.114
0.000 -2.077 9.114
La W Se
1 1 2
Direct
0.000 0.000 0.000 La
0.500 0.500 0.500 W
0.412 0.412 0.412 Se
0.588 0.588 0.588 Se
```

## Properties
N(E_F) ... 6.0 states/eV/cell
Magnetization ... 0.00 μB per cell
Density ... 7.81 Mg/m³
Space group ... R-3m
Energy above the most stable polymorph in this dataset ... 725 meV per atom
Energy ... -6.12 eV/atom
Formation energy (no corrections) ... 0.092 eV/atom



Entry 3:
VASP calculation (GGA-PBE) on an optimized crystal structure of La4WSe.

```
La4WSe
1.0
0.000 4.394 4.394
4.394 0.000 4.394
4.394 4.394 0.000
La W Se
4 1 1
Direct
0.377 0.377 0.377 La
0.377 0.377 0.870 La
0.377 0.870 0.377 La
0.870 0.377 0.377 La
0.750 0.750 0.750 W
0.000 0.000 0.000 Se
```

## Properties
N(E_F) ... 7.0 states/eV/cell
Magnetization ... 0.00 μB per cell
Density ... 8.01 Mg/m³
Space group ... F-43m
Energy ... -5.32 eV/atom
Formation energy (no corrections) ... 0.703 eV/atom



Entry 4:
VASP calculation (GGA-PBE) on an optimized crystal structure of LaWSe2.

```
LaWSe2
1.0
-2.048 2.795 3.873
2.048 -2.795 3.873
2.048 2.795 -3.873
La W Se
1 1 2
Direct
0.000 0.000 0.000 La
0.500 0.500 0.000 W
0.301 0.801 0.500 Se
0.699 0.199 0.500 Se
```

## Properties
N(E_F) ... 3.5 states/eV/cell
Magnetization ... 0.00 μB per cell
Density ... 9.00 Mg/m³
Space group ... Immm
Energy above the most stable polymorph in this dataset ... 107 meV per atom
Energy ... -6.74 eV/atom
Formation energy (no corrections) ... -0.526 eV/atom